Ce4Cd PBE optimized geometry; energy above the most stable polymorph in this dataset = 0.758 eV/atom; formation energy from the elements = 0.71 eV/atom
1.0
-0.781 1.737 5.502
-2.500 -5.106 1.258
5.200 -2.193 1.430
Ce Cd
4 1
Direct
0.500 0.500 0.000 Ce
0.000 0.000 0.000 Ce
0.500 0.000 0.500 Ce
0.000 0.500 0.500 Ce
0.500 0.500 0.500 Cd



Ce2Cd3 PBE optimized geometry; energy above the most stable polymorph in this dataset = 0.048 eV/atom; formation energy from the elements = -0.16 eV/atom
1.0
3.201 0.000 0.000
0.000 3.201 0.000
-1.600 -1.600 11.982
Cd Ce
3 2
Direct
0.294 0.294 0.588 Cd
0.500 0.500 0.000 Cd
0.706 0.706 0.412 Cd
0.897 0.897 0.794 Ce
0.103 0.103 0.206 Ce



Ce3Cd PBE optimized geometry; energy above the most stable polymorph in this dataset = 0.019 eV/atom; formation energy from the elements = -0.03 eV/atom
1.0
3.250 0.000 0.000
0.000 5.673 0.000
-1.625 -2.837 5.532
Ce Cd
3 1
Direct
0.241 0.657 0.481 Ce
0.500 0.417 0.000 Ce
0.759 0.175 0.519 Ce
0.000 0.917 0.000 Cd



Ce3Cd PBE optimized geometry; energy above the most stable polymorph in this dataset = 0.000 eV/atom; formation energy from the elements = -0.05 eV/atom
1.0
3.280 0.000 0.000
0.000 5.582 0.000
0.000 0.000 5.663
Ce Cd
3 1
Direct
0.000 0.500 0.378 Ce
0.500 0.500 0.911 Ce
0.500 0.000 0.435 Ce
0.000 0.000 0.942 Cd



Ce2Cd17 PBE optimized geometry; formation energy from the elements = -0.12 eV/atom
1.0
-4.681 8.877 1.217
-4.607 -8.564 2.762
3.936 0.825 9.124
Cd Ce
34 4
Direct
0.160 0.840 0.530 Cd
0.037 0.364 0.250 Cd
0.500 0.000 0.000 Cd
0.636 0.673 0.250 Cd
0.963 0.636 0.750 Cd
0.160 0.320 0.970 Cd
0.500 0.500 0.000 Cd
0.680 0.840 0.970 Cd
0.327 0.963 0.250 Cd
0.000 0.500 0.000 Cd
0.327 0.364 0.250 Cd
0.673 0.037 0.750 Cd
0.840 0.680 0.030 Cd
0.333 0.667 0.097 Cd
0.000 0.500 0.500 Cd
0.333 0.667 0.403 Cd
0.667 0.333 0.597 Cd
0.364 0.037 0.750 Cd
0.840 0.160 0.470 Cd
0.636 0.963 0.250 Cd
0.963 0.327 0.750 Cd
0.320 0.160 0.470 Cd
0.160 0.320 0.530 Cd
0.160 0.840 0.970 Cd
0.037 0.673 0.250 Cd
0.840 0.160 0.030 Cd
0.364 0.327 0.750 Cd
0.320 0.160 0.030 Cd
0.500 0.000 0.500 Cd
0.500 0.500 0.500 Cd
0.840 0.680 0.470 Cd
0.673 0.636 0.750 Cd
0.667 0.333 0.903 Cd
0.680 0.840 0.530 Cd
0.667 0.333 0.250 Ce
0.333 0.667 0.750 Ce
0.000 0.000 0.250 Ce
0.000 0.000 0.750 Ce



Ce3Cd PBE optimized geometry; energy above the most stable polymorph in this dataset = 0.066 eV/atom; formation energy from the elements = 0.02 eV/atom
1.0
-6.513 1.703 -1.279
-4.738 -4.894 -0.746
-1.001 0.160 5.313
Ce Cd
6 2
Direct
0.175 0.175 0.250 Ce
0.650 0.175 0.250 Ce
0.175 0.650 0.250 Ce
0.350 0.825 0.750 Ce
0.825 0.825 0.750 Ce
0.825 0.350 0.750 Ce
0.667 0.667 0.250 Cd
0.333 0.333 0.750 Cd



CeCd11 PBE optimized geometry; energy above the most stable polymorph in this dataset = 0.000 eV/atom; formation energy from the elements = -0.12 eV/atom
1.0
-4.608 -7.585 -3.158
7.735 -5.226 1.265
-2.770 -1.974 8.784
Cd Ce
33 3
Direct
0.734 0.500 0.734 Cd
0.843 0.843 0.843 Cd
0.157 0.843 0.157 Cd
0.500 0.734 0.266 Cd
0.500 0.266 0.266 Cd
0.266 0.734 0.500 Cd
0.157 0.157 0.157 Cd
0.157 0.157 0.843 Cd
0.843 0.843 0.157 Cd
0.266 0.266 0.500 Cd
0.345 0.345 0.000 Cd
0.157 0.843 0.843 Cd
0.000 0.345 0.345 Cd
0.266 0.500 0.734 Cd
0.734 0.734 0.500 Cd
0.345 0.000 0.345 Cd
0.345 0.655 0.000 Cd
0.500 0.734 0.734 Cd
0.000 0.655 0.655 Cd
0.734 0.266 0.500 Cd
0.345 0.000 0.655 Cd
0.500 0.500 0.500 Cd
0.843 0.157 0.157 Cd
0.000 0.345 0.655 Cd
0.655 0.000 0.345 Cd
0.734 0.500 0.266 Cd
0.655 0.000 0.655 Cd
0.843 0.157 0.843 Cd
0.655 0.345 0.000 Cd
0.655 0.655 0.000 Cd
0.000 0.655 0.345 Cd
0.500 0.266 0.734 Cd
0.266 0.500 0.266 Cd
0.000 0.000 0.500 Ce
0.500 0.000 0.000 Ce
0.000 0.500 0.000 Ce



CeCd2Cl8 PBE optimized geometry; energy above the most stable polymorph in this dataset = 0.024 eV/atom; uncorrected formation energy = -1.358 eV per atom
1.0
-2.692 -4.648 -4.347
4.622 1.816 -4.804
3.139 -3.069 6.828
Cl Cd Ce
8 2 1
Direct
0.091 0.559 0.767 Cl
0.324 0.441 0.233 Cl
0.441 0.909 0.233 Cl
0.676 0.208 0.767 Cl
0.208 0.091 0.767 Cl
0.909 0.792 0.233 Cl
0.792 0.324 0.233 Cl
0.559 0.676 0.767 Cl
0.750 0.250 0.500 Cd
0.250 0.750 0.500 Cd
0.500 0.500 0.000 Ce



CeCdCl5 PBE optimized geometry; uncorrected formation energy = -1.679 eV per atom
1.0
-4.444 0.965 -5.807
5.705 -2.416 -4.003
-3.568 -7.963 5.813
Cl Ce Cd
10 2 2
Direct
0.067 0.317 0.250 Cl
0.656 0.572 0.334 Cl
0.933 0.683 0.750 Cl
0.316 0.190 0.970 Cl
0.219 0.846 0.530 Cl
0.238 0.821 0.166 Cl
0.684 0.810 0.030 Cl
0.344 0.428 0.666 Cl
0.762 0.179 0.834 Cl
0.781 0.154 0.470 Cl
0.000 0.000 0.000 Ce
0.000 0.500 0.500 Ce
0.604 0.854 0.250 Cd
0.396 0.146 0.750 Cd



Ce2CdCl PBE optimized geometry; uncorrected formation energy = -0.647 eV per atom
1.0
4.203 0.000 0.000
2.102 3.640 0.000
2.102 1.213 7.235
Cl Ce Cd
1 2 1
Direct
0.000 0.000 0.000 Cl
0.265 0.265 0.205 Ce
0.735 0.735 0.795 Ce
0.500 0.500 0.500 Cd



CeCd2Cl8 PBE optimized geometry; energy above the most stable polymorph in this dataset = 0.000 eV/atom; uncorrected formation energy = -1.381 eV per atom
1.0
-5.049 -3.501 -2.296
3.265 -6.637 5.779
-1.171 -2.358 9.009
Cl Cd Ce
8 2 1
Direct
0.622 0.710 0.710 Cl
0.270 0.812 0.314 Cl
0.831 0.132 0.132 Cl
0.730 0.188 0.686 Cl
0.169 0.868 0.868 Cl
0.270 0.314 0.812 Cl
0.378 0.290 0.290 Cl
0.730 0.686 0.188 Cl
0.459 0.161 0.161 Cd
0.541 0.839 0.839 Cd
0.000 0.000 0.000 Ce



CsCeCdCl6 PBE optimized geometry; uncorrected formation energy = -1.763 eV per atom
1.0
10.184 0.000 0.000
0.000 9.639 0.000
-5.092 -4.820 7.116
Cl Cd Ce Cs
12 2 2 2
Direct
0.831 0.081 0.662 Cl
0.441 0.665 0.263 Cl
0.178 0.335 0.737 Cl
0.441 0.098 0.263 Cl
0.178 0.902 0.737 Cl
0.559 0.335 0.737 Cl
0.560 0.310 0.119 Cl
0.169 0.919 0.338 Cl
0.822 0.098 0.263 Cl
0.440 0.690 0.881 Cl
0.559 0.902 0.737 Cl
0.822 0.665 0.263 Cl
0.500 0.000 0.000 Cd
0.500 0.500 0.000 Cd
0.500 0.000 0.500 Ce
0.000 0.000 0.500 Ce
0.801 0.551 0.602 Cs
0.199 0.449 0.398 Cs